Record 1
NaFeTeO4 | Alexandria via LeMat-Bulk | GGA+U | relaxed; density of states at the Fermi level = 0.0 states/eV/f.u.; SG = No. 11; VASP energy = -77.3 eV/cell; volume = 15.66 A^3/atom
1.0
6.408 0.000 0.000
0.000 5.503 0.000
-2.628 0.000 6.218
Na Fe Te O
2 2 2 8
direct
0.043 0.250 0.151
0.957 0.750 0.849
0.080 0.750 0.438
0.920 0.250 0.562
0.454 0.250 0.698
0.546 0.750 0.302
0.167 0.750 0.209
0.195 0.013 0.658
0.195 0.487 0.658
0.411 0.250 0.409
0.589 0.750 0.591
0.805 0.513 0.342
0.805 0.987 0.342
0.833 0.250 0.791

***

Record 2
NaFeTeO6 | Alexandria via LeMat-Bulk | GGA+U | relaxed; SG = No. 163; VASP energy = -98.5 eV/cell; volume = 13.30 A^3/atom
1.0
5.132 0.000 0.000
-2.566 4.444 0.000
0.000 0.000 10.496
Na Fe Te O
2 2 2 12
direct
0.000 0.000 0.000
0.000 0.000 0.500
0.333 0.667 0.250
0.667 0.333 0.750
0.333 0.667 0.750
0.667 0.333 0.250
0.005 0.382 0.147
0.005 0.623 0.353
0.377 0.382 0.353
0.377 0.995 0.147
0.382 0.005 0.647
0.382 0.377 0.853
0.618 0.623 0.147
0.618 0.995 0.353
0.623 0.005 0.853
0.623 0.618 0.647
0.995 0.377 0.647
0.995 0.618 0.853

***

Record 3
Na2FeTeO4 | Alexandria via LeMat-Bulk | GGA+U | relaxed; density of states at the Fermi level = 0.0 states/eV/f.u.; SG = No. 5; VASP energy = -42.3 eV/cell; volume = 13.43 A^3/atom
1.0
3.552 -3.391 0.000
3.552 3.391 0.000
-3.399 0.000 4.461
Na Fe Te O
2 1 1 4
direct
0.000 0.000 0.000
0.749 0.251 0.500
0.523 0.477 0.000
0.244 0.756 0.500
0.262 0.392 0.556
0.498 0.024 0.964
0.608 0.738 0.444
0.976 0.502 0.036

***

Record 4
Na2TlFeO4 | Alexandria via LeMat-Bulk | GGA+U | relaxed; SG = No. 10; VASP energy = -40.7 eV/cell; volume = 12.58 A^3/atom
1.0
5.665 0.000 0.000
0.000 3.227 0.000
-1.900 0.000 5.505
Na Tl Fe O
2 1 1 4
direct
0.000 0.000 0.000
0.500 0.500 0.000
0.000 0.500 0.500
0.500 0.000 0.500
0.268 0.000 0.715
0.286 0.500 0.293
0.714 0.500 0.707
0.732 0.000 0.285

***

Record 5
Na3Tl2FeO6 | Alexandria via LeMat-Bulk | GGA+U | relaxed; SG = No. 12; VASP energy = -57.0 eV/cell; volume = 12.81 A^3/atom
1.0
2.851 -4.931 0.000
2.851 4.931 0.000
-1.922 0.000 5.467
Na Tl Fe O
3 2 1 6
direct
0.000 0.000 0.000
0.339 0.661 0.000
0.661 0.339 0.000
0.167 0.833 0.500
0.833 0.167 0.500
0.500 0.500 0.500
0.135 0.430 0.287
0.276 0.276 0.704
0.430 0.135 0.287
0.570 0.865 0.713
0.724 0.724 0.296
0.865 0.570 0.713

***

Record 6
Na2Tl2FeO6 | Alexandria via LeMat-Bulk | GGA+U | relaxed; SG = No. 12; VASP energy = -53.4 eV/cell; volume = 14.19 A^3/atom
1.0
2.854 -4.856 0.000
2.854 4.856 0.000
-1.699 0.000 5.629
Na Tl Fe O
2 2 1 6
direct
0.157 0.843 0.000
0.843 0.157 0.000
0.335 0.665 0.500
0.665 0.335 0.500
0.000 0.000 0.500
0.052 0.348 0.700
0.219 0.219 0.306
0.348 0.052 0.700
0.652 0.948 0.300
0.781 0.781 0.694
0.948 0.652 0.300

***

Please write out number 4 again, unchanged.
Na2TlFeO4 | Alexandria via LeMat-Bulk | GGA+U | relaxed; SG = No. 10; VASP energy = -40.7 eV/cell; volume = 12.58 A^3/atom
1.0
5.665 0.000 0.000
0.000 3.227 0.000
-1.900 0.000 5.505
Na Tl Fe O
2 1 1 4
direct
0.000 0.000 0.000
0.500 0.500 0.000
0.000 0.500 0.500
0.500 0.000 0.500
0.268 0.000 0.715
0.286 0.500 0.293
0.714 0.500 0.707
0.732 0.000 0.285

***

Which value of volume does entry 5 give? 12.81 A^3/atom

***

Which value of volume does entry 5 give? 12.81 A^3/atom